Record 1
Density functional theory data (GGA-PBE) for an optimized crystal structure of YAs2PdO8.

a b c (Å): 7.135 7.135 6.349
angles (deg): 90.00 90.00 90.00
Space group I-4m2 (No. 119)
Symmetry-distinct sites (fractional):
Y1 0.000 0.000 0.000 x2
As1 0.000 0.000 0.500 x2
As2 0.000 0.500 0.250 x2
Pd1 0.000 0.500 0.750 x2
O1 0.000 0.180 0.683 x8
O2 0.000 0.319 0.072 x8

formation energy without anion corrections: -1356 meV per atom
magnetic moment: 2.8 μB/f.u.

=====

Record 2
Density functional theory data (GGA-PBE) for an optimized crystal structure of PBr3O.

a b c (Å): 6.492 7.926 15.586
angles (deg): 90.00 113.42 90.00
Space group P2/c (No. 13)
Symmetry-distinct sites (fractional):
P1 0.114 0.020 0.337 x4
Br1 0.114 0.245 0.434 x4
Br2 0.128 0.217 0.925 x4
Br3 0.413 0.498 0.302 x4
O1 0.156 0.020 0.233 x4

excess energy over the best structure of this formula in the dataset: 1.646 eV/f.u.
formation energy without anion corrections: -444 meV per atom
magnetic moment: 0.0 μB/f.u.

=====

Record 3
Density functional theory data (GGA-PBE) for an optimized crystal structure of Hf3Se.

a b c (Å): 3.225 3.274 8.503
angles (deg): 90.00 90.00 90.00
Space group Pmm2 (No. 25)
Symmetry-distinct sites (fractional):
Hf1 0.000 0.000 0.000 x1
Hf2 0.000 0.500 0.329 x1
Hf3 0.500 0.500 0.755 x1
Se1 0.500 0.000 0.495 x1

excess energy over the best structure of this formula in the dataset: 1.157 eV/f.u.
formation energy without anion corrections: -278 meV per atom
magnetic moment: 0.0 μB/f.u.